(1)
The following is a PBE calculation of an optimized crystal structure of Ca2LaCu, from Alexandria via LeMat-Bulk.

a b c (Å): 3.8707 12.7024 10.5414
angles (deg): 90.00 90.00 90.00
Space group Cmcm (No. 63)
One atom of each set of equivalent atoms:
Ca: 0.0000 0.1380 0.0685 [8 per cell]
La: 0.0000 0.4155 0.2500 [4 per cell]
Cu: 0.0000 0.2550 0.7500 [4 per cell]

Summary:
ΔE to the lowest computed polymorph = 8.6 meV per atom
formation enthalpy at 0 K = -9 kJ/mol of formula units

(2)
The following is a PBE calculation of an optimized crystal structure of Ca2LaCu, from Alexandria via LeMat-Bulk.

a b c (Å): 3.9421 3.9421 30.9927
angles (deg): 90.00 90.00 120.00
Space group R3m (No. 160, hexagonal axes)
One atom of each set of equivalent atoms:
Ca: 0.0000 0.0000 0.0000 [3 per cell]
Ca: 0.0000 0.0000 0.2257 [3 per cell]
La: 0.0000 0.0000 0.7723 [3 per cell]
Cu: 0.0000 0.0000 0.4986 [3 per cell]

Summary:
ΔE to the lowest computed polymorph = 74.3 meV per atom
formation enthalpy at 0 K = 16 kJ/mol of formula units

(3)
The following is a PBE calculation of an optimized crystal structure of CaLa3Cu4, from Alexandria via LeMat-Bulk.

a b c (Å): 5.1477 5.1477 7.2461
angles (deg): 90.00 90.00 90.00
Space group P4/mmm (No. 123)
One atom of each set of equivalent atoms:
Ca: 0.0000 0.0000 0.0000 [1 per cell]
La: 0.0000 0.0000 0.5000 [1 per cell]
La: 0.5000 0.5000 0.0000 [1 per cell]
La: 0.5000 0.5000 0.5000 [1 per cell]
Cu: 0.0000 0.5000 0.2538 [4 per cell]

Summary:
formation enthalpy at 0 K = -101 kJ/mol of formula units